No. 1
A geometry-optimized Ac2SmTmS4 structure, computed with PBE-GGA.

Calculated values
As for the density of states at the Fermi level: 3.64 states/eV/cell. Its space group is P2/m (10). For the total energy, the calculation gives -49.738 eV/cell. As for the uncorrected formation energy: -1.978 eV/atom.

Cell: 7.0035 4.0147 7.3891 Å, 90.00 108.20 90.00°
With the nearest neighbours (Å) after each atom.
Fractional coordinates of all 8 atoms:
Ac 0.0000 0.0000 0.0000  6 S 3.08
Ac 0.5000 0.5000 0.0000  6 S 3.02
Sm 0.0000 0.5000 0.5000  6 S 2.82-2.83
Tm 0.5000 0.0000 0.5000  6 S 2.75-2.76
S 0.2484 0.0000 0.7218  1 Tm 2.76, 2 Sm 2.82, 3 Ac 3.02-3.08
S 0.2693 0.5000 0.2835  2 Tm 2.75, 1 Sm 2.83, 3 Ac 3.02-3.08
S 0.7307 0.5000 0.7165  2 Tm 2.75, 1 Sm 2.83, 3 Ac 3.02-3.08
S 0.7516 0.0000 0.2782  1 Tm 2.76, 2 Sm 2.82, 3 Ac 3.02-3.08

No. 2
A geometry-optimized AcSmTm2S4 structure, computed with PBE-GGA.

Calculated values
As for the density of states at the Fermi level: 3.25 states/eV/cell. Its space group is P2/m (10). For the total energy, the calculation gives -49.915 eV/cell. As for the uncorrected formation energy: -1.954 eV/atom.

Cell: 6.8129 3.9143 7.1837 Å, 90.00 108.32 90.00°
With the nearest neighbours (Å) after each atom.
Fractional coordinates of all 8 atoms:
Ac 0.0000 0.0000 0.0000  6 S 2.98-2.99
Sm 0.5000 0.5000 0.0000  6 S 2.92-2.93
Tm 0.0000 0.5000 0.5000  6 S 2.75-2.76
Tm 0.5000 0.0000 0.5000  6 S 2.69-2.70
S 0.2482 0.0000 0.7249  3 Tm 2.70-2.75, 2 Sm 2.92, 1 Ac 2.98
S 0.2676 0.5000 0.2809  3 Tm 2.69-2.76, 1 Sm 2.93, 2 Ac 2.99
S 0.7324 0.5000 0.7191  3 Tm 2.69-2.76, 1 Sm 2.93, 2 Ac 2.99
S 0.7518 0.0000 0.2751  3 Tm 2.70-2.75, 2 Sm 2.92, 1 Ac 2.98

No. 3
A geometry-optimized AcSm2TmS6 structure, computed with PBE-GGA.

Calculated values
As for the density of states at the Fermi level: 0.00 states/eV/cell. Its space group is R3 (146). For the total energy, the calculation gives -63.295 eV/cell. As for the uncorrected formation energy: -2.051 eV/atom.

Cell: 7.5158 7.5158 7.5158 Å, 56.76 56.76 56.76°
With the nearest neighbours (Å) after each atom.
Fractional coordinates of all 10 atoms:
Ac 0.0000 0.0000 0.0000  6 S 2.92-3.06
Sm 0.2095 0.2095 0.2095  6 S 2.75-2.86
Sm 0.7175 0.7175 0.7175  6 S 2.79-2.85
Tm 0.5132 0.5132 0.5132  6 S 2.73-2.75
S 0.1237 0.4158 0.7994  1 Tm 2.73, 2 Sm 2.79-2.86
S 0.3430 0.9094 0.5810  1 Tm 2.75, 2 Sm 2.75-2.85, 1 Ac 2.92
S 0.4158 0.7994 0.1237  1 Tm 2.73, 2 Sm 2.79-2.86
S 0.5810 0.3430 0.9094  1 Tm 2.75, 2 Sm 2.75-2.85, 1 Ac 2.92
S 0.7994 0.1237 0.4158  1 Tm 2.73, 2 Sm 2.79-2.86
S 0.9094 0.5810 0.3430  1 Tm 2.75, 2 Sm 2.75-2.85, 1 Ac 2.92

No. 4
A geometry-optimized Ac2SmTmS6 structure, computed with PBE-GGA.

Calculated values
As for the density of states at the Fermi level: 0.00 states/eV/cell. Its space group is R3 (146). For the total energy, the calculation gives -63.166 eV/cell. As for the uncorrected formation energy: -2.099 eV/atom.

Cell: 7.4957 7.4957 7.4957 Å, 58.13 58.13 58.13°
With the nearest neighbours (Å) after each atom.
Fractional coordinates of all 10 atoms:
Ac 0.0000 0.0000 0.0000  6 S 2.96-3.06
Ac 0.4989 0.4989 0.4989  6 S 2.98-3.05
Sm 0.2146 0.2146 0.2146  6 S 2.75-2.84
Tm 0.7126 0.7126 0.7126  6 S 2.68-2.74
S 0.0685 0.4339 0.8454  1 Tm 2.68, 1 Sm 2.84, 1 Ac 2.98
S 0.3520 0.9233 0.5787  1 Tm 2.74, 1 Sm 2.75, 2 Ac 2.96-3.05
S 0.4339 0.8454 0.0685  1 Tm 2.68, 1 Sm 2.84, 1 Ac 2.98
S 0.5787 0.3520 0.9233  1 Tm 2.74, 1 Sm 2.75, 2 Ac 2.96-3.05
S 0.8454 0.0685 0.4339  1 Tm 2.68, 1 Sm 2.84, 1 Ac 2.98
S 0.9233 0.5787 0.3520  1 Tm 2.74, 1 Sm 2.75, 2 Ac 2.96-3.05

No. 5
A geometry-optimized AcSm2US8 structure, computed with PBE-GGA.

Calculated values
As for the density of states at the Fermi level: 3.41 states/eV/cell. Its space group is P2/m (10). For the total energy, the calculation gives -76.811 eV/cell. As for the uncorrected formation energy: -1.580 eV/atom.

Cell: 6.6410 4.8125 9.2652 Å, 90.00 90.05 90.00°
With the nearest neighbours (Å) after each atom.
Fractional coordinates of all 12 atoms:
Ac 0.0000 0.0000 0.0000  8 S 2.98-3.08
Sm 0.5001 0.5000 0.2567  8 S 2.84-2.93
Sm 0.4999 0.5000 0.7433  8 S 2.84-2.93
U 0.0000 0.0000 0.5000  8 S 2.64-2.82
S 0.2214 0.5000 0.4998  2 U 2.82, 2 Sm 2.92, 1 S 2.94
S 0.2515 0.0000 0.2799  1 U 2.64, 2 Sm 2.93
S 0.2512 0.0000 0.7203  1 U 2.64, 2 Sm 2.93
S 0.2658 0.5000 0.0000  2 Sm 2.84, 2 Ac 2.98, 1 S 3.11
S 0.7342 0.5000 0.0000  2 Sm 2.84, 2 Ac 2.98, 1 S 3.11
S 0.7488 0.0000 0.2797  1 U 2.64, 2 Sm 2.93
S 0.7485 0.0000 0.7201  1 U 2.64, 2 Sm 2.93
S 0.7786 0.5000 0.5002  2 U 2.82, 2 Sm 2.92, 1 S 2.94

No. 6
A geometry-optimized Ac2SmUS8 structure, computed with PBE-GGA.

Calculated values
As for the density of states at the Fermi level: 5.22 states/eV/cell. Its space group is Pmmm (47). For the total energy, the calculation gives -76.427 eV/cell. As for the uncorrected formation energy: -1.599 eV/atom.

Cell: 4.7211 6.9881 9.3477 Å, 90.00 90.00 90.00°
With the nearest neighbours (Å) after each atom.
Fractional coordinates of all 12 atoms:
Ac 0.0000 0.0000 0.2483  8 S 2.95-3.10
Ac 0.0000 0.0000 0.7517  8 S 2.95-3.10
Sm 0.5000 0.5000 0.0000  8 S 2.89-3.00
U 0.5000 0.5000 0.5000  8 S 2.66-2.79
S 0.0000 0.2608 0.0000  2 Sm 2.89, 2 Ac 2.95
S 0.0000 0.2885 0.5000  2 U 2.79, 1 S 2.96, 2 Ac 3.10
S 0.0000 0.7115 0.5000  2 U 2.79, 1 S 2.96, 2 Ac 3.10
S 0.0000 0.7392 0.0000  2 Sm 2.89, 2 Ac 2.95
S 0.5000 0.2717 0.2724  1 U 2.66
S 0.5000 0.2717 0.7276  1 U 2.66
S 0.5000 0.7283 0.2724  1 U 2.66
S 0.5000 0.7283 0.7276  1 U 2.66

Please write out number 3 again, unchanged.
A geometry-optimized AcSm2TmS6 structure, computed with PBE-GGA.

Calculated values
As for the density of states at the Fermi level: 0.00 states/eV/cell. Its space group is R3 (146). For the total energy, the calculation gives -63.295 eV/cell. As for the uncorrected formation energy: -2.051 eV/atom.

Cell: 7.5158 7.5158 7.5158 Å, 56.76 56.76 56.76°
With the nearest neighbours (Å) after each atom.
Fractional coordinates of all 10 atoms:
Ac 0.0000 0.0000 0.0000  6 S 2.92-3.06
Sm 0.2095 0.2095 0.2095  6 S 2.75-2.86
Sm 0.7175 0.7175 0.7175  6 S 2.79-2.85
Tm 0.5132 0.5132 0.5132  6 S 2.73-2.75
S 0.1237 0.4158 0.7994  1 Tm 2.73, 2 Sm 2.79-2.86
S 0.3430 0.9094 0.5810  1 Tm 2.75, 2 Sm 2.75-2.85, 1 Ac 2.92
S 0.4158 0.7994 0.1237  1 Tm 2.73, 2 Sm 2.79-2.86
S 0.5810 0.3430 0.9094  1 Tm 2.75, 2 Sm 2.75-2.85, 1 Ac 2.92
S 0.7994 0.1237 0.4158  1 Tm 2.73, 2 Sm 2.79-2.86
S 0.9094 0.5810 0.3430  1 Tm 2.75, 2 Sm 2.75-2.85, 1 Ac 2.92

The highest uncorrected formation energy belongs to which entry?
AcSm2US8